1.
Compound: Pr2Nd9Tm
Source: the Alexandria database
Functional: PBE
Structure: relaxed

abc: 3.581 11.593 11.593
angles: 120.00 90.00 90.00
Fractional positions:
Pr  0.000  0.333  0.667
Pr  0.000  0.667  0.333
Nd  0.000  0.000  0.500
Nd  0.000  0.500  0.500
Nd  0.000  0.500  0.000
Nd  0.500  0.341  0.171
Nd  0.500  0.171  0.829
Nd  0.500  0.171  0.341
Nd  0.500  0.829  0.659
Nd  0.500  0.829  0.171
Nd  0.500  0.659  0.829
Tm  0.000  0.000  0.000

## Properties
The energy relative to the elements comes out at 0.05 eV per atom. Its crystal system is hexagonal. The value obtained for the energy above the most stable polymorph in this dataset is 3.23 kJ/mol of atoms.


2.
Compound: ReWCl2
Source: the Alexandria database
Functional: PBE
Structure: relaxed

abc: 2.810 2.810 9.179
angles: 90.00 90.00 90.00
Fractional positions:
Re  0.500  0.500  0.250
W  0.500  0.500  0.750
Cl  0.000  0.000  0.926
Cl  0.000  0.000  0.574

## Properties
Its crystal system is tetragonal. As for the raw formation energy: 1.394 eV per atom. The value obtained for the energy above the most stable polymorph in this dataset is 152.08 kJ/mol of atoms.


3.
Compound: Cs5Au2O
Source: the Alexandria database
Functional: PBE
Structure: relaxed

abc: 6.887 8.862 16.024
angles: 90.00 90.00 112.87
Fractional positions:
Cs  0.942  0.884  0.872
Cs  0.942  0.884  0.628
Cs  0.302  0.603  0.380
Cs  0.302  0.603  0.120
Cs  0.699  0.399  0.250
Cs  0.301  0.601  0.750
Cs  0.698  0.397  0.620
Cs  0.698  0.397  0.880
Cs  0.058  0.116  0.128
Cs  0.058  0.116  0.372
Au  0.835  0.670  0.431
Au  0.835  0.670  0.069
Au  0.165  0.330  0.569
Au  0.165  0.330  0.931
O  0.820  0.640  0.750
O  0.180  0.360  0.250

## Properties
Its crystal system is orthorhombic. As for the raw formation energy: -0.517 eV per atom.


4.
Compound: Mg2AlAu
Source: the Alexandria database
Functional: PBE
Structure: relaxed

abc: 4.662 4.662 4.662
angles: 60.00 60.00 60.00
Fractional positions:
Al  0.500  0.500  0.500
Au  0.750  0.750  0.750
Mg  0.000  0.000  0.000
Mg  0.250  0.250  0.250

## Properties
The energy relative to the elements comes out at -0.22 eV per atom. Its crystal system is cubic.


5.
Compound: TlCoPS2
Source: the Alexandria database
Functional: PBE
Structure: relaxed

abc: 4.832 4.832 4.141
angles: 90.00 90.00 90.00
Fractional positions:
P  0.000  0.000  0.500
Tl  0.500  0.500  0.500
Co  0.000  0.000  0.000
S  0.000  0.500  0.000
S  0.500  0.000  0.000

## Properties
Its crystal system is tetragonal. As for the raw formation energy: 0.277 eV per atom. The value obtained for the energy above the most stable polymorph in this dataset is 0.00 kJ/mol of atoms.


Looking at magnetization for the records above, in order, we have 0.0, 0.0, 1.2, 0.0, 0.0 Bohr magnetons per cell.
Looking at volume for the records above, in order, we have 416.8, 72.5, 901.1, 71.7, 96.7 Å³ per cell.